No. 1
GGA-PBE Li2AcAu8, optimized geometry; ΔE_f = -305.5 kJ/mol of formula units
1.0
5.513 0.000 0.000
0.000 5.513 0.000
0.000 0.000 8.737
Li Ac Au
2 1 8
Cartesian
0.000 2.756 0.000
2.756 0.000 0.000
0.000 0.000 4.368
1.394 1.394 1.892
1.394 1.394 6.844
1.394 4.119 1.892
1.394 4.119 6.844
4.119 1.394 1.892
4.119 1.394 6.844
4.119 4.119 1.892
4.119 4.119 6.844

***

No. 2
GGA-PBE SrCuRu2, optimized geometry; ΔE_f = 315.1 kJ/mol of formula units
1.0
-1.973 1.973 4.650
1.973 -1.973 4.650
1.973 1.973 -4.650
Sr Cu Ru
1 1 2
Cartesian
0.000 0.000 0.000
0.000 0.000 4.650
1.973 0.000 2.325
0.000 1.973 2.325

***

No. 3
GGA-PBE LaCu2Ru, optimized geometry; ΔE_f = 30.5 kJ/mol of formula units
1.0
-1.969 1.969 4.415
1.969 -1.969 4.415
1.969 1.969 -4.415
La Cu Ru
1 2 1
Cartesian
0.000 0.000 0.000
1.969 0.000 2.208
0.000 1.969 2.208
0.000 0.000 4.415

***

No. 4
GGA-PBE YMnRu2, optimized geometry; ΔE_f = -1.1 kJ/mol of formula units
1.0
3.167 0.000 0.000
0.000 3.167 0.000
0.000 0.000 6.635
Y Mn Ru
1 1 2
Cartesian
0.000 0.000 0.000
0.000 0.000 3.317
1.583 1.583 1.953
1.583 1.583 4.682

***

No. 5
GGA-PBE CaTb2Cu6, optimized geometry; ΔE_f = -176.8 kJ/mol of formula units
1.0
7.331 0.000 0.000
-3.665 6.349 0.000
0.000 0.000 3.660
Ca Tb Cu
1 2 6
Cartesian
0.000 0.000 0.000
0.000 4.232 0.000
3.665 2.116 0.000
-1.227 2.126 1.830
-2.438 4.222 1.830
2.455 0.000 1.830
1.227 2.126 1.830
4.876 0.000 1.830
2.438 4.222 1.830

***

No. 6
GGA-PBE CdOs, optimized geometry; ΔE_f = 99.7 kJ/mol of formula units
1.0
9.968 0.000 0.000
0.000 9.968 0.000
0.000 0.000 2.895
Cd Os
8 8
Cartesian
0.337 7.976 0.000
1.993 0.337 0.000
2.079 3.019 1.447
3.019 7.889 1.447
6.950 2.079 1.447
7.889 6.950 1.447
7.976 9.632 0.000
9.632 1.993 0.000
1.010 5.634 1.447
3.241 5.305 0.000
4.334 1.010 1.447
4.664 3.241 0.000
5.305 6.728 0.000
5.634 8.958 1.447
6.728 4.664 0.000
8.958 4.334 1.447

***

No. 7
GGA-PBE KHg2OsO6, optimized geometry; uncorrected formation energy = -0.77 eV per atom
1.0
5.921 0.000 0.000
2.751 5.367 0.000
0.067 3.282 5.138
K Hg Os O
1 2 1 6
Cartesian
0.000 0.000 0.000
2.789 5.332 3.917
5.749 3.236 1.076
3.101 1.921 2.679
2.645 2.934 1.223
4.257 6.364 2.555
2.495 3.057 4.038
4.737 3.117 2.840
6.903 6.078 1.859
6.550 6.201 4.315

***

No. 8
GGA-PBE PaBAu, optimized geometry; ΔE_f = -22.6 kJ/mol of formula units
1.0
-1.809 1.809 9.275
1.809 -1.809 9.275
1.809 1.809 -9.275
Pa B Au
2 2 2
Cartesian
0.000 0.000 3.256
0.000 0.000 15.294
0.000 0.000 5.690
0.000 0.000 12.859
0.000 0.000 7.959
0.000 0.000 10.590

***

No. 9
GGA-PBE HgAsOs2, optimized geometry; ΔE_f = 387.8 kJ/mol of formula units
1.0
2.940 0.000 0.000
0.000 4.592 0.000
0.000 0.000 4.957
Hg As Os
1 1 2
Cartesian
0.000 0.000 0.000
1.470 0.000 2.478
0.000 2.296 2.478
1.470 2.296 0.000

***

No. 10
GGA-PBE Ta2GaMoH, optimized geometry; total DFT energy (no corrections) = -8.27 eV/atom
1.0
4.165 0.000 0.000
0.000 4.165 0.000
0.000 0.000 3.984
Ta Ga Mo H
2 1 1 1
Cartesian
0.000 2.082 0.000
2.082 0.000 0.000
0.000 0.000 1.992
2.082 2.082 1.992
2.082 2.082 0.000

***

No. 11
GGA-PBE Cu2GePb2, optimized geometry; ΔE_f = 103.3 kJ/mol of formula units
1.0
6.769 0.000 0.000
0.000 6.769 0.000
0.000 0.000 4.578
Cu Ge Pb
4 2 4
Cartesian
0.902 2.483 0.000
2.483 5.867 0.000
4.286 0.902 0.000
5.867 4.286 0.000
0.000 0.000 0.000
3.385 3.385 0.000
1.183 4.567 2.289
2.202 1.183 2.289
4.567 5.587 2.289
5.587 2.202 2.289

***

No. 12
GGA-PBE CrSi2Ru, optimized geometry; uncorrected formation energy = -0.35 eV per atom
1.0
2.905 0.000 0.000
0.000 2.905 0.000
0.000 0.000 5.802
Cr Si Ru
1 2 1
Cartesian
0.000 0.000 0.000
1.453 1.453 1.389
1.453 1.453 4.413
0.000 0.000 2.901

***

No. 13
GGA-PBE Be5Re3, optimized geometry; ΔE_f = 133.2 kJ/mol of formula units
1.0
6.928 0.000 0.000
-3.464 6.000 0.000
0.000 0.000 4.306
Be Re
10 6
Cartesian
-0.692 1.199 1.076
-2.772 4.801 3.229
1.384 0.000 1.076
0.692 1.199 3.229
0.000 4.000 0.000
0.000 4.000 2.153
3.464 2.000 0.000
3.464 2.000 2.153
5.544 0.000 3.229
2.772 4.801 1.076
-1.368 2.370 3.229
-2.096 3.630 1.076
2.737 0.000 3.229
1.368 2.370 1.076
4.191 0.000 1.076
2.096 3.630 3.229

***

No. 14
GGA-PBE Nd2Pu2Te2Se3, optimized geometry; uncorrected formation energy = -1.32 eV per atom
1.0
-2.856 2.856 8.052
2.856 -2.856 8.052
2.856 2.856 -8.052
Nd Pu Te Se
2 2 2 3
Cartesian
0.000 0.000 3.198
0.000 0.000 12.907
2.856 0.000 0.000
0.000 2.856 0.000
0.000 0.000 6.385
0.000 0.000 9.720
0.000 0.000 0.000
2.856 0.000 4.026
0.000 2.856 4.026

***

No. 15
GGA-PBE Mn2CdPt, optimized geometry; ΔE_f = -10.2 kJ/mol of formula units
1.0
2.948 0.000 0.000
0.000 4.595 0.000
0.000 0.000 4.754
Mn Cd Pt
2 1 1
Cartesian
0.000 0.000 0.000
0.000 2.298 1.839
1.474 0.000 2.423
1.474 2.298 4.278

***

No. 16
GGA-PBE HfTiMo2, optimized geometry; ΔE_f = 3.4 kJ/mol of formula units
1.0
4.563 0.000 0.000
0.000 4.563 0.000
0.000 0.000 3.285
Hf Ti Mo
1 1 2
Cartesian
0.000 0.000 0.000
2.282 2.282 0.000
0.000 2.282 1.642
2.282 0.000 1.642

***

No. 17
GGA-PBE BaInSb2As, optimized geometry; uncorrected formation energy = -0.10 eV per atom
1.0
5.882 0.000 0.000
0.000 5.882 0.000
0.000 0.000 5.341
Ba In Sb As
1 1 2 1
Cartesian
0.000 0.000 0.000
2.941 2.941 0.000
0.000 2.941 2.670
2.941 0.000 2.670
2.941 2.941 2.670

***

No. 18
GGA-PBE Cs4HgH, optimized geometry; total DFT energy (no corrections) = -1.25 eV/atom
1.0
11.314 0.000 0.000
0.000 12.288 0.000
-8.541 0.000 11.425
Cs Hg H
16 4 4
Cartesian
-1.884 2.684 4.461
-6.155 3.460 10.173
-2.422 7.634 5.528
-6.692 10.798 11.241
1.507 6.205 2.830
-2.764 12.226 8.543
-3.485 7.940 10.214
0.786 10.492 4.501
1.987 1.796 6.924
6.258 4.348 1.211
5.537 0.061 2.882
1.266 6.083 8.595
9.465 1.490 0.184
5.195 4.654 5.896
8.928 8.828 1.252
4.657 9.604 6.964
1.669 1.849 2.554
-2.602 4.295 8.267
5.375 7.993 3.158
1.104 10.439 8.870
-0.559 8.228 3.397
-4.830 10.204 9.109
7.603 2.084 2.316
3.332 4.060 8.028

***

No. 19
GGA-PBE ZrBeCu, optimized geometry; ΔE_f = 199.7 kJ/mol of formula units
1.0
0.000 3.007 3.007
3.007 0.000 3.007
3.007 3.007 0.000
Zr Be Cu
1 1 1
Cartesian
0.000 0.000 0.000
4.510 4.510 4.510
1.503 1.503 1.503

***

No. 20
GGA-PBE Mn2FeTc, optimized geometry; ΔE_f = 60.4 kJ/mol of formula units
1.0
1.288 0.743 8.183
-1.288 0.743 8.183
0.000 -1.487 8.183
Mn Fe Tc
2 1 1
Cartesian
0.000 0.000 0.000
0.000 0.000 3.831
0.000 0.000 18.242
0.000 0.000 14.155

***

No. 21
GGA-PBE Ac2Ag3Sn4Hg, optimized geometry; ΔE_f = -394.9 kJ/mol of formula units
1.0
4.727 0.000 0.000
0.000 4.727 0.000
0.000 0.000 11.892
Ac Ag Sn Hg
2 3 4 1
Cartesian
0.000 2.364 2.926
2.364 0.000 8.966
0.000 0.000 0.000
0.000 2.364 7.554
2.364 0.000 4.338
0.000 0.000 5.946
0.000 2.364 10.247
2.364 0.000 1.645
2.364 2.364 5.946
2.364 2.364 0.000

***

No. 22
GGA-PBE LaSm3Dy5, optimized geometry; ΔE_f = 425.7 kJ/mol of formula units
1.0
7.656 -5.722 0.000
7.656 5.722 0.000
-6.381 0.000 7.602
La Sm Dy
2 6 10
Cartesian
1.143 0.000 3.132
7.789 0.000 4.470
0.000 0.000 0.000
-1.988 0.000 2.730
6.357 0.000 1.424
4.466 0.000 3.801
2.575 0.000 6.178
10.920 0.000 4.872
3.825 2.873 1.903
3.167 0.000 0.349
7.656 2.774 0.000
-0.696 0.000 5.914
5.107 2.873 5.700
3.825 -2.873 1.903
9.627 0.000 1.688
7.656 -2.774 0.000
5.764 0.000 7.253
5.107 -2.873 5.700

***

No. 23
GGA-PBE AlV3Cr2, optimized geometry; ΔE_f = -73.5 kJ/mol of formula units
1.0
2.986 0.000 0.000
0.000 2.986 0.000
0.000 0.000 8.810
Al V Cr
1 3 2
Cartesian
0.000 0.000 0.000
1.493 1.493 1.646
1.493 1.493 4.405
1.493 1.493 7.164
0.000 0.000 2.923
0.000 0.000 5.887

***

No. 24
GGA-PBE NaI2, optimized geometry; uncorrected formation energy = -0.79 eV per atom
1.0
6.087 -2.335 0.000
6.087 2.335 0.000
-2.875 0.000 8.482
Na I
2 4
Cartesian
3.931 1.786 6.361
5.368 -1.786 2.120
1.683 0.606 8.469
6.178 0.606 4.254
3.121 -0.606 4.228
7.615 -0.606 0.013

***

No. 25
GGA-PBE Ta2BeP, optimized geometry; ΔE_f = -5.1 kJ/mol of formula units
1.0
0.000 3.052 3.052
3.052 0.000 3.052
3.052 3.052 0.000
Ta Be P
2 1 1
Cartesian
1.526 1.526 1.526
4.579 4.579 4.579
0.000 0.000 0.000
3.052 3.052 3.052